1.
In4Ag3Hg8 | GGA-PBE | relaxed

Geometry as POSCAR:
```
In4Ag3Hg8
1.0
4.6945 0.0000 0.0000
0.0000 4.6945 0.0000
0.0000 0.0000 16.8488
In Ag Hg
4 3 8
Direct
0.5000 0.0000 0.3820
0.5000 0.0000 0.8923
0.0000 0.5000 0.1077
0.0000 0.5000 0.6180
0.5000 0.5000 0.5000
0.0000 0.0000 0.0000
0.0000 0.0000 0.5000
0.5000 0.0000 0.1027
0.5000 0.0000 0.6124
0.0000 0.5000 0.3876
0.0000 0.5000 0.8973
0.5000 0.5000 0.2430
0.5000 0.5000 0.7570
0.0000 0.0000 0.2484
0.0000 0.0000 0.7516
```

Space group: P-4m2, No. 115
DOS at the Fermi energy: 4.54 states/eV per cell
Total moment: 0.00 μB/f.u.

---

2.
InAg2Hg | GGA-PBE | relaxed

Geometry as POSCAR:
```
InAg2Hg
1.0
3.1524 -0.2462 0.0000
-1.3488 2.8599 0.0000
0.0000 0.0000 9.8061
Hg Ag In
1 2 1
Direct
0.5000 0.5000 0.2500
0.0000 0.0000 0.9996
0.0000 0.0000 0.5004
0.5000 0.5000 0.7500
```

Space group: Cmmm, No. 65
DOS at the Fermi energy: 1.89 states/eV per cell
Total moment: 0.00 μB/f.u.

---

3.
In6Ag12Hg | GGA-PBE | relaxed

Geometry as POSCAR:
```
In6Ag12Hg
1.0
7.4423 0.1322 -2.2706
-3.1013 6.7666 -2.2706
0.0832 0.1322 7.7805
In Ag Hg
6 12 1
Direct
0.0855 0.2014 0.4763
0.7986 0.5237 0.9145
0.5237 0.9145 0.7986
0.9145 0.7986 0.5237
0.2014 0.4763 0.0855
0.4763 0.0855 0.2014
0.4750 0.1866 0.5871
0.1866 0.5871 0.4750
0.5871 0.4750 0.1866
0.5250 0.8134 0.4129
0.8134 0.4129 0.5250
0.4129 0.5250 0.8134
0.2715 0.1468 0.8411
0.1589 0.7285 0.8532
0.8532 0.1589 0.7285
0.7285 0.8532 0.1589
0.8411 0.2715 0.1468
0.1468 0.8411 0.2715
0.0000 0.0000 0.0000
```

Space group: R-3, No. 148
DOS at the Fermi energy: 8.22 states/eV per cell
Total moment: 0.00 μB/f.u.

---

4.
In6Ag10Hg | GGA-PBE | relaxed

Geometry as POSCAR:
```
In6Ag10Hg
1.0
-4.9209 2.4767 -1.8385
0.9895 -3.5949 -7.4911
-4.2469 -3.9707 6.0180
In Ag Hg
6 10 1
Direct
0.6909 0.3575 0.3575
0.6909 0.0000 0.6425
0.6909 0.6425 0.0000
0.3091 0.6425 0.6425
0.3091 0.0000 0.3575
0.3091 0.3575 0.0000
0.8299 0.7013 0.7013
0.8299 0.0000 0.2987
0.8299 0.2987 0.0000
0.1701 0.2987 0.2987
0.1701 0.0000 0.7013
0.1701 0.7013 0.0000
0.5000 0.3333 0.6667
0.5000 0.6667 0.3333
0.0000 0.6667 0.3333
0.0000 0.3333 0.6667
0.5000 0.0000 0.0000
```

Space group: P-31m, No. 162
DOS at the Fermi energy: 5.22 states/eV per cell
Total moment: 0.00 μB/f.u.

---

Number 1: energy relative to the elements 0.051 eV/atom, E_tot -21.16 eV for the cell shown. Number 2: energy relative to the elements 0.101 eV/atom, E_tot -8.34 eV for the cell shown. Number 3: energy relative to the elements 0.027 eV/atom, E_tot -50.43 eV for the cell shown. Number 4: energy relative to the elements 0.046 eV/atom, E_tot -44.46 eV for the cell shown.